Record 1
# MnAgAs | the Alexandria database | PBE | optimized geometry
# * E above lowest polymorph: 0 meV per atom
# * energy of formation: 0.138 eV per atom
data_MnAgAs
_cell_length_a 4.366
_cell_length_b 4.366
_cell_length_c 4.366
_cell_angle_alpha 60.00
_cell_angle_beta 60.00
_cell_angle_gamma 60.00
_symmetry_space_group_name_H-M 'P 1'
_symmetry_Int_Tables_number 1
_symmetry_space_group_name_Hall 'P 1'
loop_
_atom_site_label
_atom_site_type_symbol
_atom_site_fract_x
_atom_site_fract_y
_atom_site_fract_z
_atom_site_occupancy
Ag1 Ag 0.500 0.500 0.500 1
As1 As 0.750 0.750 0.750 1
Mn1 Mn 0.000 0.000 0.000 1



Record 2
# MnAgAs | the Alexandria database | PBE | optimized geometry
# * E above lowest polymorph: 62 meV per atom
# * energy of formation: 0.200 eV per atom
data_MnAgAs
_cell_length_a 2.976
_cell_length_b 2.976
_cell_length_c 6.657
_cell_angle_alpha 90.00
_cell_angle_beta 90.00
_cell_angle_gamma 120.00
_symmetry_space_group_name_H-M 'P 1'
_symmetry_Int_Tables_number 1
_symmetry_space_group_name_Hall 'P 1'
loop_
_atom_site_label
_atom_site_type_symbol
_atom_site_fract_x
_atom_site_fract_y
_atom_site_fract_z
_atom_site_occupancy
Ag1 Ag 0.000 0.000 0.982 1
As1 As 0.667 0.333 0.367 1
Mn1 Mn 0.333 0.667 0.651 1



Record 3
# MnAgAs2 | the Alexandria database | PBE | optimized geometry
# * E above lowest polymorph: 71 meV per atom
# * energy of formation: 0.095 eV per atom
data_MnAgAs2
_cell_length_a 2.936
_cell_length_b 2.936
_cell_length_c 7.591
_cell_angle_alpha 90.00
_cell_angle_beta 90.00
_cell_angle_gamma 90.00
_symmetry_space_group_name_H-M 'P 1'
_symmetry_Int_Tables_number 1
_symmetry_space_group_name_Hall 'P 1'
loop_
_atom_site_label
_atom_site_type_symbol
_atom_site_fract_x
_atom_site_fract_y
_atom_site_fract_z
_atom_site_occupancy
Ag1 Ag 0.500 0.500 0.750 1
As1 As 0.000 0.000 0.058 1
As2 As 0.000 0.000 0.442 1
Mn1 Mn 0.500 0.500 0.250 1



> What is the energy of formation in the second record?

0.200 eV per atom



> Among the records above, which one has the highest energy of formation?

number 2



> Number 3 is which compound?

MnAgAs2



> What is the E above lowest polymorph in the first record?

0 meV per atom